Record 1
# ScTc2Ru | Alexandria | PBE | relaxed
# * relative energy among the computed polymorphs: 229.8 meV per atom
# * raw total energy: -35.89 eV per formula unit
# * N(E_F): 11.3 states/eV/cell
# * calculated formation energy: 112 meV/atom
# * crystal system: trigonal
data_ScTc2Ru
_cell_length_a 2.8673
_cell_length_b 2.8673
_cell_length_c 26.4303
_cell_angle_alpha 90.00
_cell_angle_beta 90.00
_cell_angle_gamma 120.00
_space_group_name_H-M_alt 'R 3 m'
_space_group_IT_number 160
_space_group_name_Hall 'R 3 -2"'
loop_
_atom_site_label
_atom_site_type_symbol
_atom_site_fract_x
_atom_site_fract_y
_atom_site_fract_z
Sc1 Sc 0.0000 0.0000 0.0000
Tc1 Tc 0.0000 0.0000 0.2447
Tc2 Tc 0.0000 0.0000 0.4991
Ru1 Ru 0.0000 0.0000 0.7519



Record 2
# YEr2Tm9 | Alexandria | PBE | relaxed
# * relative energy among the computed polymorphs: 0.0 meV per atom
# * raw total energy: -55.19 eV per formula unit
# * N(E_F): 20.1 states/eV/cell
# * calculated formation energy: 54 meV/atom
# * crystal system: hexagonal
data_YEr2Tm9
_cell_length_a 11.0464
_cell_length_b 11.0464
_cell_length_c 3.4621
_cell_angle_alpha 90.00
_cell_angle_beta 90.00
_cell_angle_gamma 120.00
_space_group_name_H-M_alt 'P 6/m m m'
_space_group_IT_number 191
_space_group_name_Hall '-P 6 2'
loop_
_atom_site_label
_atom_site_type_symbol
_atom_site_fract_x
_atom_site_fract_y
_atom_site_fract_z
Y1 Y 0.0000 0.0000 0.0000
Er1 Er 0.3333 0.6667 0.0000
Tm1 Tm 0.0000 0.5000 0.0000
Tm2 Tm 0.1775 0.3550 0.5000